# 1
Here is RbGdSb after structural relaxation from OQMD via LeMat-Bulk. Energies are from PBE.

Summary:
- electronic total energy (Ry per atom) = -0.2511

Lattice parameters (Å, degrees): 7.7623 7.7623 7.7623 90.00 90.00 90.00
Space group F-43m (No. 216)
Symmetry-distinct sites (fractional):
Rb1 0.0000 0.0000 0.0000 [4 per cell]
Gd1 0.0000 0.0000 0.5000 [4 per cell]
Sb1 0.2500 0.2500 0.7500 [4 per cell]

***

# 2
Here is Pd2Br3Cl3 after structural relaxation from OQMD via LeMat-Bulk. Energies are from PBE.

Summary:
- excess energy over the best structure of this formula in the dataset (meV per atom) = 3

Lattice parameters (Å, degrees): 6.1393 11.3837 6.5369 90.00 90.00 90.00
Space group Amm2 (No. 38)
Symmetry-distinct sites (fractional):
Pd1 0.2496 0.0000 0.0000 [4 per cell]
Br1 0.0000 0.0000 0.6886 [2 per cell]
Br2 0.5000 0.1556 0.8451 [4 per cell]
Cl1 0.0000 0.1455 0.1475 [4 per cell]
Cl2 0.5000 0.0000 0.2914 [2 per cell]

***

# 3
Here is Tb2DyMg3InGa2 after structural relaxation from OQMD via LeMat-Bulk. Energies are from PBE.

Summary:
- electronic total energy (Ry per atom) = -0.2571

Lattice parameters (Å, degrees): 4.5605 12.6961 7.3427 90.00 90.00 90.00
Space group Amm2 (No. 38)
Symmetry-distinct sites (fractional):
Tb1 0.0000 0.2186 0.0000 [4 per cell]
Dy1 0.0000 0.0000 0.6558 [2 per cell]
Mg1 0.5000 0.0000 0.9688 [2 per cell]
Mg2 0.5000 0.1249 0.3438 [4 per cell]
In1 0.0000 0.0000 0.2195 [2 per cell]
Ga1 0.5000 0.1663 0.7187 [4 per cell]

***

# 4
Here is PmSn2O4 after structural relaxation from OQMD via LeMat-Bulk. Energies are from PBE.

Summary:
- electronic total energy (Ry per atom) = -0.4676

Lattice parameters (Å, degrees): 9.8468 9.8468 9.8468 90.00 90.00 90.00
Space group Fd-3m (No. 227, origin choice 2)
Symmetry-distinct sites (fractional):
Pm1 0.1250 0.1250 0.1250 [8 per cell]
Sn1 0.0000 0.0000 0.5000 [16 per cell]
O1 0.0064 0.0064 0.7436 [32 per cell]

***

# 5
Here is KPrSn after structural relaxation from OQMD via LeMat-Bulk. Energies are from PBE.

Summary:
- excess energy over the best structure of this formula in the dataset (meV per atom) = 0

Lattice parameters (Å, degrees): 7.6714 7.6714 7.6714 90.00 90.00 90.00
Space group F-43m (No. 216)
Symmetry-distinct sites (fractional):
K1 0.0000 0.0000 0.0000 [4 per cell]
Pr1 0.2500 0.2500 0.2500 [4 per cell]
Sn1 0.0000 0.0000 0.5000 [4 per cell]

***

# 6
Here is LaDyNO after structural relaxation from OQMD via LeMat-Bulk. Energies are from PBE.

Summary:
- excess energy over the best structure of this formula in the dataset (meV per atom) = 86

Lattice parameters (Å, degrees): 3.9677 6.8697 5.7621 90.00 90.00 90.00
Space group Pmc2_1 (No. 26)
Symmetry-distinct sites (fractional):
La1 0.0000 0.1536 0.0000 [2 per cell]
Dy1 0.5000 0.3249 0.5138 [2 per cell]
N1 0.0000 0.1944 0.4191 [2 per cell]
O1 0.5000 0.3661 0.8996 [2 per cell]

***

# 7
Here is BaSc2Ni after structural relaxation from OQMD via LeMat-Bulk. Energies are from PBE.

Summary:
- electronic total energy (Ry per atom) = -0.3348

Lattice parameters (Å, degrees): 7.3186 7.3186 7.3186 90.00 90.00 90.00
Space group F-43m (No. 216)
Symmetry-distinct sites (fractional):
Ba1 0.0000 0.0000 0.0000 [4 per cell]
Sc1 0.0000 0.0000 0.5000 [4 per cell]
Sc2 0.2500 0.2500 0.2500 [4 per cell]
Ni1 0.2500 0.2500 0.7500 [4 per cell]

***

# 8
Here is LiAcHo after structural relaxation from OQMD via LeMat-Bulk. Energies are from PBE.

Summary:
- excess energy over the best structure of this formula in the dataset (meV per atom) = 0

Lattice parameters (Å, degrees): 7.4559 7.4559 7.4559 90.00 90.00 90.00
Space group F-43m (No. 216)
Symmetry-distinct sites (fractional):
Li1 0.0000 0.0000 0.0000 [4 per cell]
Ac1 0.2500 0.2500 0.7500 [4 per cell]
Ho1 0.2500 0.2500 0.2500 [4 per cell]

***

# 9
Here is Nb2NiSe4S2 after structural relaxation from OQMD via LeMat-Bulk. Energies are from PBE.

Summary:
- excess energy over the best structure of this formula in the dataset (meV per atom) = 0

Lattice parameters (Å, degrees): 13.0650 3.3505 10.5691 90.00 120.68 90.00
Space group C2/m (No. 12)
Symmetry-distinct sites (fractional):
Nb1 0.1717 0.0000 0.2812 [4 per cell]
Ni1 0.0000 0.5000 0.0000 [2 per cell]
Se1 0.0030 0.5000 0.7800 [4 per cell]
Se2 0.1603 0.0000 0.5340 [4 per cell]
S1 0.1960 0.5000 0.1254 [4 per cell]

***

# 10
Here is ZrTlCuF7 after structural relaxation from OQMD via LeMat-Bulk. Energies are from PBE.

Summary:
- electronic total energy (Ry per atom) = -0.3955

Lattice parameters (Å, degrees): 6.2937 7.9079 6.2943 90.00 118.25 90.00
Space group P2_1/m (No. 11)
Symmetry-distinct sites (fractional):
Zr1 0.1873 0.2500 0.3108 [2 per cell]
Tl1 0.5000 0.0000 0.0000 [2 per cell]
Cu1 0.1887 0.7500 0.3128 [2 per cell]
F1 0.0002 0.2500 0.4971 [2 per cell]
F2 0.1600 0.2500 0.9608 [2 per cell]
F3 0.1711 0.7500 0.9453 [2 per cell]
F4 0.1979 0.5071 0.3013 [4 per cell]
F5 0.4431 0.2500 0.6692 [2 per cell]
F6 0.4624 0.7500 0.6614 [2 per cell]

***

# 11
Here is SiOsW2 after structural relaxation from OQMD via LeMat-Bulk. Energies are from PBE.

Summary:
- electronic total energy (Ry per atom) = -0.7728

Lattice parameters (Å, degrees): 6.1813 6.1813 6.1813 90.00 90.00 90.00
Space group F-43m (No. 216)
Symmetry-distinct sites (fractional):
Si1 0.0000 0.0000 0.0000 [4 per cell]
Os1 0.2500 0.2500 0.2500 [4 per cell]
W1 0.0000 0.0000 0.5000 [4 per cell]
W2 0.2500 0.2500 0.7500 [4 per cell]

***

# 12
Here is YTmGa2Ir4 after structural relaxation from OQMD via LeMat-Bulk. Energies are from PBE.

Summary:
- electronic total energy (Ry per atom) = -0.5244

Lattice parameters (Å, degrees): 4.5667 4.5667 6.4678 90.00 90.00 90.00
Space group P4/mmm (No. 123)
Symmetry-distinct sites (fractional):
Y1 0.0000 0.0000 0.0000 [1 per cell]
Tm1 0.5000 0.5000 0.5000 [1 per cell]
Ga1 0.0000 0.0000 0.5000 [1 per cell]
Ga2 0.5000 0.5000 0.0000 [1 per cell]
Ir1 0.0000 0.5000 0.2533 [4 per cell]